Entry from Alexandria: a geometry-optimized La2Zn3Ge6 structure (GGA-PBEsol).

Cell lengths 5.9199, 5.9248, 12.6655 Å; angles 76.47, 90.00, 90.00 degrees
Last column: nearest neighbours and their distance in Å.
Fractional positions:
La (0.2500, 0.8946, 0.2108)  8 Ge 3.11-3.19, 6 Zn 3.25-3.30
La (0.7500, 0.3950, 0.2101)  8 Ge 3.11-3.18, 6 Zn 3.26-3.36
La (0.2500, 0.6050, 0.7899)  8 Ge 3.11-3.18, 6 Zn 3.26-3.36
La (0.7500, 0.1054, 0.7892)  8 Ge 3.11-3.19, 6 Zn 3.25-3.30
Zn (0.5000, 0.2368, 0.0000)  4 Ge 2.58-2.62, 1 Zn 2.81
Zn (0.2500, 0.3399, 0.3202)  5 Ge 2.52-2.58
Zn (0.0000, 0.2368, 0.0000)  4 Ge 2.58-2.62, 1 Zn 2.81
Zn (0.7500, 0.6601, 0.6798)  5 Ge 2.52-2.58
Zn (0.5000, 0.7632, 0.0000)  4 Ge 2.58-2.62, 1 Zn 2.81
Zn (0.0000, 0.7632, 0.0000)  4 Ge 2.58-2.62, 1 Zn 2.81
Ge (0.5343, 0.5826, 0.4022)  3 Ge 2.47-2.56, 1 Zn 2.58
Ge (0.0343, 0.4174, 0.5978)  3 Ge 2.47-2.56, 1 Zn 2.58
Ge (0.5343, 0.0151, 0.4022)  3 Ge 2.47-2.56, 1 Zn 2.58
Ge (0.4657, 0.4174, 0.5978)  3 Ge 2.47-2.56, 1 Zn 2.58
Ge (0.7500, 0.9331, 0.1339)  4 Zn 2.62
Ge (0.0343, 0.9849, 0.5978)  3 Ge 2.47-2.56, 1 Zn 2.58
Ge (0.2500, 0.4423, 0.1154)  5 Zn 2.52-2.58
Ge (0.9657, 0.0151, 0.4022)  3 Ge 2.47-2.56, 1 Zn 2.58
Ge (0.4657, 0.9849, 0.5978)  3 Ge 2.47-2.56, 1 Zn 2.58
Ge (0.2500, 0.0669, 0.8661)  4 Zn 2.62
Ge (0.7500, 0.5577, 0.8846)  5 Zn 2.52-2.58
Ge (0.9657, 0.5826, 0.4022)  3 Ge 2.47-2.56, 1 Zn 2.58

=====

Entry from Alexandria: a geometry-optimized TaAlRu2 structure (GGA-PBEsol).

Cell lengths 3.3010, 3.3010, 5.5300 Å; angles 90.00, 90.00, 90.00 degrees
Last column: nearest neighbours and their distance in Å.
Fractional positions:
Ru (0.0000, 0.0000, 0.9452)  4 Al 2.50, 1 Ta 2.53
Ru (0.5000, 0.5000, 0.2859)  4 Ta 2.59, 2 Al 2.74-2.79
Al (0.5000, 0.5000, 0.7815)  6 Ru 2.50-2.79
Ta (0.0000, 0.0000, 0.4874)  5 Ru 2.53-2.59

=====

Calculated values (eV per atom) of formation energy from the elements for the records, taken in order: -0.4831 -0.2016.